(1)
## Sr3Li3Au8 (GGA-PBE)

Data for an optimized crystal structure of Sr3Li3Au8.

## Properties
SG: Immm (71)
Energy of formation from the pure elements in kJ/mol of formula units: -829.2
Raw total energy in eV/f.u.: -45.600
Crystal system: orthorhombic
Density in g/cm3: 9.9

Cell: 4.6806 8.7113 8.7113 Å, 68.53 74.42 74.42°
Closest atoms and distances in Å follow each position.
Fractional coordinates of all 14 atoms:
Sr 0.5000 0.5000 0.5000  12 Au 3.27-3.56, 4 Li 3.63
Sr 0.7934 0.2066 0.2066  10 Au 3.23-3.53, 2 Li 3.52
Sr 0.2066 0.7934 0.7934  10 Au 3.23-3.53, 2 Li 3.52
Li 0.5000 0.0000 0.0000  4 Au 2.55
Li 0.0000 0.7835 0.2165  6 Au 2.65-2.81
Li 0.0000 0.2165 0.7835  6 Au 2.65-2.81
Au 0.6137 0.0929 0.6797  3 Li 2.55-2.81, 2 Au 2.85
Au 0.3863 0.9071 0.3203  3 Li 2.55-2.81, 2 Au 2.85
Au 0.6137 0.6797 0.0929  3 Li 2.55-2.81, 2 Au 2.85
Au 0.3863 0.3203 0.9071  3 Li 2.55-2.81, 2 Au 2.85
Au 0.8332 0.8115 0.5222  1 Li 2.65, 3 Au 2.84-2.85
Au 0.1668 0.1885 0.4778  1 Li 2.65, 3 Au 2.84-2.85
Au 0.8332 0.5222 0.8115  1 Li 2.65, 3 Au 2.84-2.85
Au 0.1668 0.4778 0.1885  1 Li 2.65, 3 Au 2.84-2.85

=====

(2)
## Gd3SbC (GGA-PBE)

Data for an optimized crystal structure of Gd3SbC.

## Properties
SG: Pm-3m (221)
E_form (uncorrected) in eV/atom: -0.6271
Raw total energy in eV/f.u.: -58.724
Crystal system: cubic
Density in g/cm3: 8.4

Cell: 4.9277 4.9277 4.9277 Å, 90.00 90.00 90.00°
Closest atoms and distances in Å follow each position.
Fractional coordinates of all 5 atoms:
Sb 0.5000 0.5000 0.5000  12 Gd 3.48
C 0.0000 0.0000 0.0000  6 Gd 2.46
Gd 0.0000 0.5000 0.0000  2 C 2.46
Gd 0.0000 0.0000 0.5000  2 C 2.46
Gd 0.5000 0.0000 0.0000  2 C 2.46

=====

(3)
## CdNiAu (GGA-PBE)

Data for an optimized crystal structure of CdNiAu.

## Properties
SG: Pnma (62)
Energy of formation from the pure elements in kJ/mol of formula units: 1.3
Raw total energy in eV/f.u.: -9.960
Crystal system: orthorhombic
Density in g/cm3: 11.2
Offset from the most stable computed form in meV per atom: 10

Cell: 4.0379 6.3782 8.4921 Å, 90.00 90.00 90.00°
Closest atoms and distances in Å follow each position.
Fractional coordinates of all 12 atoms:
Ni 0.7500 0.0082 0.4031  4 Au 2.60-2.65, 2 Ni 2.61, 4 Cd 2.68-2.78
Ni 0.2500 0.5082 0.0969  4 Au 2.60-2.65, 2 Ni 2.61, 4 Cd 2.68-2.78
Ni 0.7500 0.4918 0.9031  4 Au 2.60-2.65, 2 Ni 2.61, 4 Cd 2.68-2.78
Ni 0.2500 0.9918 0.5969  4 Au 2.60-2.65, 2 Ni 2.61, 4 Cd 2.68-2.78
Cd 0.7500 0.8053 0.1131  4 Ni 2.68-2.78, 3 Au 2.84-2.89
Cd 0.2500 0.1947 0.8869  4 Ni 2.68-2.78, 3 Au 2.84-2.89
Cd 0.7500 0.6947 0.6131  4 Ni 2.68-2.78, 3 Au 2.84-2.89
Cd 0.2500 0.3053 0.3869  4 Ni 2.68-2.78, 3 Au 2.84-2.89
Au 0.7500 0.2525 0.6477  4 Ni 2.60-2.65, 3 Cd 2.84-2.89
Au 0.7500 0.2475 0.1477  4 Ni 2.60-2.65, 3 Cd 2.84-2.89
Au 0.2500 0.7475 0.3523  4 Ni 2.60-2.65, 3 Cd 2.84-2.89
Au 0.2500 0.7525 0.8523  4 Ni 2.60-2.65, 3 Cd 2.84-2.89

=====

What is the formula in the third record?
CdNiAu

=====

Which formula does entry 1 have?
Sr3Li3Au8

=====

Which value of raw total energy does entry 1 give?
-45.600 eV/f.u.

=====

What is the density in the third record?
11.2 g/cm3